1.
K3BaTl: relaxed, PBE.

Lattice parameters (Å, degrees): 7.7241 7.7241 7.7241 90.00 90.00 90.00
Last column: nearest neighbours and their distance in Å.
Space group Pm-3m (No. 221)
Inequivalent atoms, fractional coordinates:
K: 0.0000 0.0000 0.5000  2 Ba 3.86
Ba: 0.0000 0.0000 0.0000  6 K 3.86
Tl: 0.5000 0.5000 0.5000  12 K 5.46

Results
**Density**: 1.7 g/cm3

***

2.
K3BaTl: relaxed, PBE.

Lattice parameters (Å, degrees): 6.8516 6.8516 6.8516 90.00 90.00 90.00
Last column: nearest neighbours and their distance in Å.
Space group Pm-3m (No. 221)
Inequivalent atoms, fractional coordinates:
K: 0.0000 0.0000 0.5000  2 Tl 3.43
Ba: 0.5000 0.5000 0.5000  12 K 4.84
Tl: 0.0000 0.0000 0.0000  6 K 3.43

Results
**Density**: 2.4 g/cm3

***

The relative energies come out as 1 0.500; 2 0.000, with values in eV/atom.

***

1.
KBaTl4: relaxed, PBE.

Lattice parameters (Å, degrees): 4.0253 5.5147 9.5049 90.00 90.00 90.00
Last column: nearest neighbours and their distance in Å.
Space group Pmmm (No. 47)
Inequivalent atoms, fractional coordinates:
K: 0.0000 0.0000 0.0000  12 Tl 3.75-3.76, 2 K 4.03
Ba: 0.0000 0.5000 0.5000  12 Tl 3.76, 2 Ba 4.03
Tl: 0.5000 0.0000 0.3332  3 Tl 3.17-3.18
Tl: 0.5000 0.5000 0.1658  3 Tl 3.15-3.18

Results
**Density**: 7.8 g/cm3

***

2.
KBaTl4: relaxed, PBE.

Lattice parameters (Å, degrees): 9.4270 9.4270 9.4270 90.00 90.00 90.00
Last column: nearest neighbours and their distance in Å.
Space group F-43m (No. 216)
Inequivalent atoms, fractional coordinates:
K: 0.0000 0.0000 0.0000  12 Tl 3.91, 4 Ba 4.08
Ba: 0.2500 0.2500 0.7500  12 Tl 3.91, 4 K 4.08
Tl: 0.1250 0.1250 0.3750  6 Tl 3.33

Results
**Density**: 7.9 g/cm3

***

The relative energies come out as 1 0.000; 2 0.016, with values in eV/atom.

***

1.
KBa3V: relaxed, PBE.

Lattice parameters (Å, degrees): 6.6438 6.6438 6.6438 90.00 90.00 90.00
Last column: nearest neighbours and their distance in Å.
Space group Pm-3m (No. 221)
Inequivalent atoms, fractional coordinates:
K: 0.0000 0.0000 0.0000  6 Ba 3.32
Ba: 0.0000 0.0000 0.5000  2 K 3.32
V: 0.5000 0.5000 0.5000  12 Ba 4.70

Results
**Density**: 2.8 g/cm3

***

2.
KBa3V: relaxed, PBE.

Lattice parameters (Å, degrees): 6.7545 6.7545 6.7545 90.00 90.00 90.00
Last column: nearest neighbours and their distance in Å.
Space group Pm-3m (No. 221)
Inequivalent atoms, fractional coordinates:
K: 0.0000 0.0000 0.0000  12 Ba 4.78
Ba: 0.0000 0.5000 0.5000  2 V 3.38
V: 0.5000 0.5000 0.5000  6 Ba 3.38

Results
**Density**: 2.7 g/cm3

***

The relative energies come out as 1 0.748; 2 0.000, with values in eV/atom.

***

1.
KBaV: relaxed, PBE.

Lattice parameters (Å, degrees): 6.2029 6.2029 3.5531 90.00 90.00 120.00
Last column: nearest neighbours and their distance in Å.
Space group P-6m2 (No. 187)
Inequivalent atoms, fractional coordinates:
K: 0.0000 0.0000 0.0000  2 K 3.55
Ba: 0.3333 0.6667 0.5000  2 Ba 3.55, 3 V 3.58
V: 0.6667 0.3333 0.5000  2 V 3.55, 3 Ba 3.58

Results
**Density**: 3.2 g/cm3

***

2.
KBaV: relaxed, PBE.

Lattice parameters (Å, degrees): 17.6795 4.2948 8.0526 90.00 90.19 90.00
Last column: nearest neighbours and their distance in Å.
Space group Cm (No. 8)
Inequivalent atoms, fractional coordinates:
K: 0.0000 0.0000 0.0000  4 V 3.84-3.85, 2 K 4.29
K: 0.2202 0.5000 0.9998  4 K 4.29-4.45, 2 V 4.44-4.46, 4 Ba 4.62
Ba: 0.1789 0.0000 0.4998  4 V 3.39
Ba: 0.3975 0.5000 0.4998  4 V 3.44
V: 0.0399 0.5000 0.3865  1 V 1.83
V: 0.0403 0.5000 0.6137  1 V 1.83

Results
**Density**: 2.5 g/cm3

***

3.
KBaV: relaxed, PBE.

Lattice parameters (Å, degrees): 8.4369 8.4369 8.4369 90.00 90.00 90.00
Last column: nearest neighbours and their distance in Å.
Space group F-43m (No. 216)
Inequivalent atoms, fractional coordinates:
K: 0.0000 0.0000 0.0000  4 V 3.65
Ba: 0.0000 0.0000 0.5000  4 V 3.65
V: 0.2500 0.2500 0.7500  4 Ba 3.65, 4 K 3.65

Results
**Density**: 2.5 g/cm3

***

The relative energies come out as 1 0.352; 2 0.000; 3 0.372, with values in eV/atom.

***

1.
KBaV: relaxed, PBE.

Lattice parameters (Å, degrees): 3.8830 4.3329 16.5643 87.10 83.40 82.28
Last column: nearest neighbours and their distance in Å.
Space group P-1 (No. 2)
Inequivalent atoms, fractional coordinates:
K: 0.1945 0.2346 0.1159  4 K 3.88-4.33
Ba: 0.4213 0.3022 0.6535  5 V 3.37-3.65
V: 0.0775 0.1870 0.4813  1 V 1.86

Results
**Density**: 2.8 g/cm3

***

2.
KBaV: relaxed, PBE.

Lattice parameters (Å, degrees): 5.5975 5.5975 9.4706 90.00 90.00 90.00
Last column: nearest neighbours and their distance in Å.
Space group P4/nmm (No. 129, origin choice 2)
Inequivalent atoms, fractional coordinates:
K: 0.2500 0.2500 0.1287  5 V 3.83-4.20
Ba: 0.2500 0.7500 0.5000  4 V 3.51
V: 0.2500 0.2500 0.7244  4 Ba 3.51, 1 K 3.83

Results
**Density**: 2.5 g/cm3

***

The relative energies come out as 1 0.000; 2 0.458, with values in eV/atom.

***

1.
KBaV: relaxed, PBE.

Lattice parameters (Å, degrees): 10.5995 6.1400 9.1239 90.00 112.69 90.00
Last column: nearest neighbours and their distance in Å.
Space group Cm (No. 8)
Inequivalent atoms, fractional coordinates:
K: 0.0000 0.0000 0.0000  3 V 3.82-3.83, 3 K 3.90, 1 Ba 4.24
K: 0.1016 0.5000 0.8051  1 V 3.51, 3 K 3.90
Ba: 0.1684 0.0000 0.5043  3 V 3.66-3.68, 3 Ba 3.93
Ba: 0.2669 0.5000 0.3005  6 V 3.61-3.70, 3 Ba 3.93
V: 0.3906 0.0000 0.1721  1 V 1.82
V: 0.4628 0.0000 0.3879  1 V 1.82

Results
**Density**: 2.8 g/cm3

***

2.
KBaV: relaxed, PBE.

Lattice parameters (Å, degrees): 4.4856 6.3289 10.2941 107.89 90.03 90.06
Last column: nearest neighbours and their distance in Å.
Space group P1 (No. 1)
Inequivalent atoms, fractional coordinates:
K: 0.0000 0.0000 0.0000  2 V 3.81-3.82, 4 K 4.23
K: 0.4997 0.4135 0.8272  4 V 3.96-4.00, 2 Ba 4.00-4.01, 4 K 4.23
Ba: 0.0000 0.2437 0.4885  4 V 3.53-3.55
Ba: 0.4995 0.6489 0.2983  2 V 3.43-3.45
V: 0.2102 0.8111 0.6224  1 V 1.81
V: 0.8063 0.8098 0.6217  1 V 1.81

Results
**Density**: 2.7 g/cm3

***

3.
KBaV: relaxed, PBE.

Lattice parameters (Å, degrees): 7.2542 7.2542 12.2703 90.00 90.00 120.00
Last column: nearest neighbours and their distance in Å.
Space group P6_3/mmc (No. 194)
Inequivalent atoms, fractional coordinates:
K: 0.3333 0.6667 0.2500  3 Ba 4.19
Ba: 0.0000 0.0000 0.2500  2 V 3.07
V: 0.0000 0.0000 0.0000  2 Ba 3.07

Results
**Density**: 1.4 g/cm3

***

4.
KBaV: relaxed, PBE.

Lattice parameters (Å, degrees): 19.1427 6.3636 4.4935 90.00 90.43 90.00
Last column: nearest neighbours and their distance in Å.
Space group Cm (No. 8)
Inequivalent atoms, fractional coordinates:
K: 0.0000 0.0000 0.0000  2 V 3.62, 2 Ba 3.88-3.99
K: 0.2230 0.0000 0.9953  3 V 3.64-3.98
Ba: 0.0685 0.5000 0.4858  2 V 3.37-3.57
Ba: 0.3314 0.5000 0.5172  2 V 3.39
V: 0.3928 0.0000 0.5115  1 V 1.83
V: 0.4118 0.0000 0.9108  1 V 1.83

Results
**Density**: 2.8 g/cm3

***

The relative energies come out as 1 0.088; 2 0.000; 3 1.105; 4 0.026, with values in eV/atom.

***

1.
K2BaW: relaxed, PBE.

Lattice parameters (Å, degrees): 7.0498 13.2023 3.7187 90.00 90.00 90.00
Last column: nearest neighbours and their distance in Å.
Space group Cmmm (No. 65)
Inequivalent atoms, fractional coordinates:
K: 0.2500 0.2500 0.0000  4 K 3.52-3.72
Ba: 0.0000 0.0000 0.5000  2 W 3.52, 2 Ba 3.72
W: 0.0000 0.5000 0.5000  2 Ba 3.52, 2 W 3.72

Results
**Density**: 3.8 g/cm3

***

2.
K2BaW: relaxed, PBE.

Lattice parameters (Å, degrees): 5.0843 5.0843 28.0722 90.00 90.00 90.00
Last column: nearest neighbours and their distance in Å.
Space group I-42d (No. 122)
Inequivalent atoms, fractional coordinates:
K: 0.2235 0.2500 0.1250  4 K 3.41-3.79
Ba: 0.0000 0.0000 0.5000  4 W 3.60, 4 K 3.99
W: 0.0000 0.0000 0.0000  4 Ba 3.60, 4 K 3.90

Results
**Density**: 3.7 g/cm3

***

The relative energies come out as 1 0.086; 2 0.000, with values in eV/atom.

***

1.
K2BaW: relaxed, PBE.

Lattice parameters (Å, degrees): 3.2826 3.2826 41.8169 90.00 90.00 120.00
Last column: nearest neighbours and their distance in Å.
Space group R-3m (No. 166, hexagonal axes)
Inequivalent atoms, fractional coordinates:
K: 0.0000 0.0000 0.2374  6 K 3.28, 3 W 3.51
Ba: 0.0000 0.0000 0.0000  6 Ba 3.28
W: 0.0000 0.0000 0.5000  6 W 3.28, 6 K 3.51

Results
**Density**: 5.1 g/cm3

***

2.
K2BaW: relaxed, PBE.

Lattice parameters (Å, degrees): 7.1374 13.9046 4.0465 90.00 121.50 90.00
Last column: nearest neighbours and their distance in Å.
Space group C2/m (No. 12)
Inequivalent atoms, fractional coordinates:
K: 0.2500 0.2500 0.0000  4 K 3.57-3.74, 2 Ba 3.95, 2 W 3.95
Ba: 0.0000 0.0000 0.5000  4 W 3.57-3.74, 4 K 3.95
W: 0.0000 0.5000 0.5000  4 Ba 3.57-3.74, 4 K 3.95

Results
**Density**: 3.9 g/cm3

***

3.
K2BaW: relaxed, PBE.

Lattice parameters (Å, degrees): 4.0402 4.0402 12.1083 90.00 90.00 90.00
Last column: nearest neighbours and their distance in Å.
Space group P4/mmm (No. 123)
Inequivalent atoms, fractional coordinates:
K: 0.0000 0.0000 0.1875  4 W 3.65, 4 K 4.04
Ba: 0.5000 0.5000 0.5000  4 Ba 4.04
W: 0.5000 0.5000 0.0000  8 K 3.65, 4 W 4.04

Results
**Density**: 3.4 g/cm3

***

The relative energies come out as 1 0.077; 2 0.000; 3 0.102, with values in eV/atom.

***

1.
K2BaW: relaxed, PBE.

Lattice parameters (Å, degrees): 8.8461 8.8461 8.8461 90.00 90.00 90.00
Last column: nearest neighbours and their distance in Å.
Space group Fm-3m (No. 225)
Inequivalent atoms, fractional coordinates:
K: 0.2500 0.2500 0.2500  4 Ba 3.83, 4 W 3.83
Ba: 0.0000 0.0000 0.0000  8 K 3.83
W: 0.0000 0.0000 0.5000  8 K 3.83

Results
**Density**: 3.8 g/cm3

***

2.
K2BaW: relaxed, PBE.

Lattice parameters (Å, degrees): 5.1738 5.1738 13.0709 90.00 90.00 90.00
Last column: nearest neighbours and their distance in Å.
Space group I4/mmm (No. 139)
Inequivalent atoms, fractional coordinates:
K: 0.0000 0.5000 0.2500  4 K 3.66
Ba: 0.0000 0.0000 0.0000  4 W 3.66
W: 0.0000 0.0000 0.5000  4 Ba 3.66

Results
**Density**: 3.8 g/cm3

***

The relative energies come out as 1 0.151; 2 0.000, with values in eV/atom.

***

1.
K2BaW: relaxed, PBE.

Lattice parameters (Å, degrees): 3.1734 3.1734 13.8872 90.00 90.00 90.00
Last column: nearest neighbours and their distance in Å.
Space group P4/mmm (No. 123)
Inequivalent atoms, fractional coordinates:
K: 0.0000 0.0000 0.2002  4 K 3.17
Ba: 0.5000 0.5000 0.5000  4 Ba 3.17
W: 0.5000 0.5000 0.0000  4 W 3.17

Results
**Density**: 4.7 g/cm3

***

2.
K2BaW: relaxed, PBE.

Lattice parameters (Å, degrees): 6.2217 6.2217 8.8325 90.00 90.00 90.00
Last column: nearest neighbours and their distance in Å.
Space group I-4m2 (No. 119)
Inequivalent atoms, fractional coordinates:
K: 0.0000 0.0000 0.0000  4 W 3.81, 4 K 3.81
K: 0.0000 0.5000 0.2500  4 Ba 3.81, 4 K 3.81
Ba: 0.0000 0.0000 0.5000  4 W 3.81, 4 K 3.81
W: 0.0000 0.5000 0.7500  4 Ba 3.81, 4 K 3.81

Results
**Density**: 3.9 g/cm3

***

3.
K2BaW: relaxed, PBE.

Lattice parameters (Å, degrees): 3.7506 6.3204 7.2011 90.00 90.00 90.00
Last column: nearest neighbours and their distance in Å.
Space group Pmmm (No. 47)
Inequivalent atoms, fractional coordinates:
K: 0.0000 0.0000 0.2209  1 K 3.18
Ba: 0.5000 0.5000 0.5000  2 W 3.60, 2 Ba 3.75
W: 0.5000 0.5000 0.0000  2 Ba 3.60, 2 W 3.75, 8 K 4.00

Results
**Density**: 3.9 g/cm3

***

The relative energies come out as 1 0.107; 2 0.000; 3 0.114, with values in eV/atom.

***

1.
K2BaW: relaxed, PBE.

Lattice parameters (Å, degrees): 4.0649 6.8114 6.1524 90.00 94.08 90.00
Last column: nearest neighbours and their distance in Å.
Space group P2/m (No. 10)
Inequivalent atoms, fractional coordinates:
K: 0.2283 0.0000 0.2761  3 K 3.41-3.75, 2 W 3.81
Ba: 0.5000 0.5000 0.0000  4 W 3.56-3.81
W: 0.0000 0.5000 0.5000  4 Ba 3.56-3.81, 4 K 3.81

Results
**Density**: 3.9 g/cm3

***

2.
K2BaW: relaxed, PBE.

Lattice parameters (Å, degrees): 8.7372 3.6086 12.2432 90.00 93.75 90.00
Last column: nearest neighbours and their distance in Å.
Space group Cm (No. 8)
Inequivalent atoms, fractional coordinates:
K: 0.0000 0.0000 0.0000  2 K 3.61
K: 0.2317 0.0000 0.6719  3 W 3.45-3.55, 2 K 3.61
Ba: 0.2690 0.5000 0.3148  3 W 3.18-3.25
W: 0.4968 0.0000 0.4751  3 Ba 3.18-3.25, 3 K 3.45-3.55

Results
**Density**: 3.4 g/cm3

***

The relative energies come out as 1 0.076; 2 0.000, with values in eV/atom.

***

1.
KBaW: relaxed, PBE.

Lattice parameters (Å, degrees): 3.3058 3.3058 9.7955 90.00 90.00 120.00
Last column: nearest neighbours and their distance in Å.
Space group P3m1 (No. 156)
Inequivalent atoms, fractional coordinates:
K: 0.0000 0.0000 0.0000  6 K 3.31, 3 W 3.50
Ba: 0.3333 0.6667 0.5735  3 W 3.30, 6 Ba 3.31
W: 0.6667 0.3333 0.2992  3 Ba 3.30, 6 W 3.31, 3 K 3.50

Results
**Density**: 6.5 g/cm3

***

2.
KBaW: relaxed, PBE.

Lattice parameters (Å, degrees): 8.3179 8.3179 8.3179 90.00 90.00 90.00
Last column: nearest neighbours and their distance in Å.
Space group F-43m (No. 216)
Inequivalent atoms, fractional coordinates:
K: 0.0000 0.0000 0.0000  4 W 3.60
Ba: 0.0000 0.0000 0.5000  4 W 3.60
W: 0.2500 0.2500 0.2500  4 Ba 3.60, 4 K 3.60

Results
**Density**: 4.2 g/cm3

***

The relative energies come out as 1 0.000; 2 0.267, with values in eV/atom.